# MoPbCl (PBE, optimized geometry)
data_MoPbCl
_chemical_formula_sum 'Mo1 Pb1 Cl1'
_space_group_name_H-M_alt 'P 3 m 1'
_space_group_IT_number 156
_cell_length_a 3.2200
_cell_length_b 3.2200
_cell_length_c 8.0357
_cell_angle_alpha 90.00
_cell_angle_beta 90.00
_cell_angle_gamma 120.00
loop_
_space_group_symop_operation_xyz
'x,y,z'
'-y,x-y,z'
'-x+y,-x,z'
'-y,-x,z'
'-x+y,y,z'
'x,x-y,z'
loop_
_atom_site_label
_atom_site_fract_x
_atom_site_fract_y
_atom_site_fract_z
Mo1 0.0000 0.0000 0.0000
Pb1 0.6667 0.3333 0.3080
Cl1 0.3333 0.6667 0.8043
# formation energy without anion corrections: 0.06 eV per atom
# total moment: 0.001 μB per formula unit
# distance to the lowest polymorph of the same formula: 0.0 meV/atom
# calculated total energy: -5.40 eV/atom
# N(E_F): 2.8 states/eV/cell